First-principles (GGA-PBE) data for a relaxed PaGaO crystal, as listed in the Alexandria database.

Output
As for the energy: -42.6 eV/cell. As for the energy relative to the elements, uncorrected: -1.281 eV/atom. The density is 7.839 Mg/m³.

Cell and atoms, written as CIF:
```
data_PaGaO
_chemical_formula_sum 'Pa2 Ga2 O2'
_symmetry_space_group_name_H-M 'P -6 m 2'
_symmetry_Int_Tables_number 187
_symmetry_space_group_name_Hall 'P -6 2'
_cell_length_a 3.3420
_cell_length_b 3.3420
_cell_length_c 13.8734
_cell_angle_alpha 90.00
_cell_angle_beta 90.00
_cell_angle_gamma 120.00
loop_
_atom_site_label
_atom_site_type_symbol
_atom_site_fract_x
_atom_site_fract_y
_atom_site_fract_z
Pa1 Pa 0.0000 0.0000 0.0000
Pa2 Pa 0.3333 0.6667 0.5000
Ga1 Ga 0.0000 0.0000 0.3281
O1 O 0.3333 0.6667 0.0896
```